No. 1
First-principles (PBE) data for crystalline La2SnPb2 at its relaxed geometry, as listed in Alexandria via LeMat-Bulk.

Cell and atoms, written as CIF:
```
data_La2SnPb2
_chemical_formula_sum 'La4 Sn2 Pb4'
_symmetry_space_group_name_H-M 'P 1'
_symmetry_Int_Tables_number 1
_cell_length_a 8.389
_cell_length_b 8.389
_cell_length_c 4.625
_cell_angle_alpha 90.00
_cell_angle_beta 90.00
_cell_angle_gamma 90.00
loop_
_symmetry_equiv_pos_as_xyz
'x,y,z'
loop_
_atom_site_label
_atom_site_type_symbol
_atom_site_fract_x
_atom_site_fract_y
_atom_site_fract_z
La1 La 0.133 0.367 0.000
La2 La 0.367 0.867 0.000
La3 La 0.633 0.133 0.000
La4 La 0.867 0.633 0.000
Sn1 Sn 0.000 0.000 0.000
Sn2 Sn 0.500 0.500 0.000
Pb1 Pb 0.176 0.676 0.500
Pb2 Pb 0.324 0.176 0.500
Pb3 Pb 0.676 0.824 0.500
Pb4 Pb 0.824 0.324 0.500
```

Results
Relative energy among the computed polymorphs in meV/atom: 174
Total DFT energy (no corrections) in Ha/atom: -0.170
Calculated formation energy in eV per atom: -0.3841
Crystal system: tetragonal

***

No. 2
First-principles (PBE) data for crystalline La5Sn2Pb2 at its relaxed geometry, as listed in Alexandria via LeMat-Bulk.

Cell and atoms, written as CIF:
```
data_La5Sn2Pb2
_chemical_formula_sum 'La10 Sn4 Pb4'
_symmetry_space_group_name_H-M 'P 1'
_symmetry_Int_Tables_number 1
_cell_length_a 9.300
_cell_length_b 9.300
_cell_length_c 8.643
_cell_angle_alpha 90.00
_cell_angle_beta 90.00
_cell_angle_gamma 55.20
loop_
_symmetry_equiv_pos_as_xyz
'x,y,z'
loop_
_atom_site_label
_atom_site_type_symbol
_atom_site_fract_x
_atom_site_fract_y
_atom_site_fract_z
La1 La 0.000 0.000 0.000
La2 La 0.039 0.687 0.672
La3 La 0.187 0.539 0.172
La4 La 0.313 0.961 0.672
La5 La 0.461 0.813 0.172
La6 La 0.500 0.500 0.500
La7 La 0.539 0.187 0.828
La8 La 0.687 0.039 0.328
La9 La 0.813 0.461 0.828
La10 La 0.961 0.313 0.328
Sn1 Sn 0.124 0.876 0.374
Sn2 Sn 0.376 0.624 0.874
Sn3 Sn 0.624 0.376 0.126
Sn4 Sn 0.876 0.124 0.626
Pb1 Pb 0.207 0.207 0.000
Pb2 Pb 0.293 0.293 0.500
Pb3 Pb 0.707 0.707 0.500
Pb4 Pb 0.793 0.793 0.000
```

Results
Total DFT energy (no corrections) in Ha/atom: -0.190
Calculated formation energy in eV per atom: -0.7172
Crystal system: orthorhombic

***

No. 3
First-principles (PBE) data for crystalline La2Sn4Pb at its relaxed geometry, as listed in Alexandria via LeMat-Bulk.

Cell and atoms, written as CIF:
```
data_La2Sn4Pb
_chemical_formula_sum 'La4 Sn8 Pb2'
_symmetry_space_group_name_H-M 'P 1'
_symmetry_Int_Tables_number 1
_cell_length_a 5.718
_cell_length_b 5.718
_cell_length_c 15.989
_cell_angle_alpha 90.00
_cell_angle_beta 90.00
_cell_angle_gamma 90.00
loop_
_symmetry_equiv_pos_as_xyz
'x,y,z'
loop_
_atom_site_label
_atom_site_type_symbol
_atom_site_fract_x
_atom_site_fract_y
_atom_site_fract_z
La1 La 0.000 0.000 0.116
La2 La 0.000 0.000 0.884
La3 La 0.500 0.500 0.384
La4 La 0.500 0.500 0.616
Sn1 Sn 0.000 0.000 0.317
Sn2 Sn 0.000 0.000 0.683
Sn3 Sn 0.000 0.500 0.000
Sn4 Sn 0.000 0.500 0.500
Sn5 Sn 0.500 0.000 0.000
Sn6 Sn 0.500 0.000 0.500
Sn7 Sn 0.500 0.500 0.183
Sn8 Sn 0.500 0.500 0.817
Pb1 Pb 0.000 0.000 0.500
Pb2 Pb 0.500 0.500 0.000
```

Results
Relative energy among the computed polymorphs in meV/atom: 584
Total DFT energy (no corrections) in Ha/atom: -0.152
Calculated formation energy in eV per atom: 0.0994
Crystal system: tetragonal

***

No. 4
First-principles (PBE) data for crystalline La5SnPb2 at its relaxed geometry, as listed in Alexandria via LeMat-Bulk.

Cell and atoms, written as CIF:
```
data_La5SnPb2
_chemical_formula_sum 'La10 Sn2 Pb4'
_symmetry_space_group_name_H-M 'P 1'
_symmetry_Int_Tables_number 1
_cell_length_a 12.094
_cell_length_b 7.213
_cell_length_c 7.260
_cell_angle_alpha 90.00
_cell_angle_beta 126.89
_cell_angle_gamma 90.00
loop_
_symmetry_equiv_pos_as_xyz
'x,y,z'
loop_
_atom_site_label
_atom_site_type_symbol
_atom_site_fract_x
_atom_site_fract_y
_atom_site_fract_z
La1 La 0.000 0.000 0.000
La2 La 0.244 0.228 0.017
La3 La 0.244 0.773 0.471
La4 La 0.256 0.273 0.529
La5 La 0.256 0.728 0.983
La6 La 0.500 0.500 0.000
La7 La 0.744 0.273 0.471
La8 La 0.744 0.728 0.017
La9 La 0.756 0.228 0.983
La10 La 0.756 0.773 0.529
Sn1 Sn 0.000 0.501 0.000
Sn2 Sn 0.500 0.001 0.000
Pb1 Pb 0.000 0.000 0.500
Pb2 Pb 0.000 0.501 0.500
Pb3 Pb 0.500 0.001 0.500
Pb4 Pb 0.500 0.500 0.500
```

Results
Relative energy among the computed polymorphs in meV/atom: 80
Total DFT energy (no corrections) in Ha/atom: -0.184
Calculated formation energy in eV per atom: -0.5013
Crystal system: monoclinic

***

No. 5
First-principles (PBE) data for crystalline LaSn3Pb at its relaxed geometry, as listed in Alexandria via LeMat-Bulk.

Cell and atoms, written as CIF:
```
data_LaSn3Pb
_chemical_formula_sum 'La1 Sn3 Pb1'
_symmetry_space_group_name_H-M 'P 1'
_symmetry_Int_Tables_number 1
_cell_length_a 5.701
_cell_length_b 5.701
_cell_length_c 5.701
_cell_angle_alpha 90.00
_cell_angle_beta 90.00
_cell_angle_gamma 90.00
loop_
_symmetry_equiv_pos_as_xyz
'x,y,z'
loop_
_atom_site_label
_atom_site_type_symbol
_atom_site_fract_x
_atom_site_fract_y
_atom_site_fract_z
La1 La 0.000 0.000 0.000
Sn1 Sn 0.000 0.500 0.500
Sn2 Sn 0.500 0.000 0.500
Sn3 Sn 0.500 0.500 0.000
Pb1 Pb 0.500 0.500 0.500
```

Results
Relative energy among the computed polymorphs in meV/atom: 447
Total DFT energy (no corrections) in Ha/atom: -0.137
Calculated formation energy in eV per atom: 0.3979
Crystal system: cubic

***

No. 6
First-principles (PBE) data for crystalline La2Sn3Pb at its relaxed geometry, as listed in Alexandria via LeMat-Bulk.

Cell and atoms, written as CIF:
```
data_La2Sn3Pb
_chemical_formula_sum 'La4 Sn6 Pb2'
_symmetry_space_group_name_H-M 'P 1'
_symmetry_Int_Tables_number 1
_cell_length_a 5.726
_cell_length_b 6.608
_cell_length_c 10.313
_cell_angle_alpha 90.00
_cell_angle_beta 90.00
_cell_angle_gamma 90.00
loop_
_symmetry_equiv_pos_as_xyz
'x,y,z'
loop_
_atom_site_label
_atom_site_type_symbol
_atom_site_fract_x
_atom_site_fract_y
_atom_site_fract_z
La1 La 0.000 0.000 0.179
La2 La 0.000 0.000 0.821
La3 La 0.500 0.500 0.321
La4 La 0.500 0.500 0.679
Sn1 Sn 0.000 0.500 0.158
Sn2 Sn 0.000 0.500 0.500
Sn3 Sn 0.000 0.500 0.842
Sn4 Sn 0.500 0.000 0.000
Sn5 Sn 0.500 0.000 0.342
Sn6 Sn 0.500 0.000 0.658
Pb1 Pb 0.000 0.000 0.500
Pb2 Pb 0.500 0.500 0.000
```

Results
Total DFT energy (no corrections) in Ha/atom: -0.170
Calculated formation energy in eV per atom: -0.3522
Crystal system: orthorhombic

***

No. 7
First-principles (PBE) data for crystalline LaSnPb3 at its relaxed geometry, as listed in Alexandria via LeMat-Bulk.

Cell and atoms, written as CIF:
```
data_LaSnPb3
_chemical_formula_sum 'La1 Sn1 Pb3'
_symmetry_space_group_name_H-M 'P 1'
_symmetry_Int_Tables_number 1
_cell_length_a 6.065
_cell_length_b 6.065
_cell_length_c 6.065
_cell_angle_alpha 90.00
_cell_angle_beta 90.00
_cell_angle_gamma 90.00
loop_
_symmetry_equiv_pos_as_xyz
'x,y,z'
loop_
_atom_site_label
_atom_site_type_symbol
_atom_site_fract_x
_atom_site_fract_y
_atom_site_fract_z
La1 La 0.000 0.000 0.000
Sn1 Sn 0.500 0.500 0.500
Pb1 Pb 0.000 0.000 0.500
Pb2 Pb 0.000 0.500 0.000
Pb3 Pb 0.500 0.000 0.000
```

Results
Relative energy among the computed polymorphs in meV/atom: 335
Total DFT energy (no corrections) in Ha/atom: -0.124
Calculated formation energy in eV per atom: 0.6439
Crystal system: cubic

***

No. 8
First-principles (PBE) data for crystalline La2SnPb at its relaxed geometry, as listed in Alexandria via LeMat-Bulk.

Cell and atoms, written as CIF:
```
data_La2SnPb
_chemical_formula_sum 'La4 Sn2 Pb2'
_symmetry_space_group_name_H-M 'P 1'
_symmetry_Int_Tables_number 1
_cell_length_a 6.510
_cell_length_b 4.512
_cell_length_c 9.442
_cell_angle_alpha 90.00
_cell_angle_beta 107.93
_cell_angle_gamma 90.00
loop_
_symmetry_equiv_pos_as_xyz
'x,y,z'
loop_
_atom_site_label
_atom_site_type_symbol
_atom_site_fract_x
_atom_site_fract_y
_atom_site_fract_z
La1 La 0.196 0.250 0.430
La2 La 0.293 0.750 0.065
La3 La 0.707 0.250 0.935
La4 La 0.804 0.750 0.570
Sn1 Sn 0.117 0.250 0.795
Sn2 Sn 0.883 0.750 0.205
Pb1 Pb 0.389 0.750 0.704
Pb2 Pb 0.611 0.250 0.296
```

Results
Relative energy among the computed polymorphs in meV/atom: 0
Total DFT energy (no corrections) in Ha/atom: -0.187
Calculated formation energy in eV per atom: -0.7055
Crystal system: monoclinic

***

The calculation returns the following total moment values, one per record and in order: 0.000; 0.001; 0.000; 0.000; 0.000; 0.000; 0.000; 0.000 Bohr magnetons per cell.